A plane-wave DFT calculation with GGA+U was carried out for a relaxed TiMoN2O crystal.

As for the crystal system: tetragonal. The value obtained for the electronic total energy is -7.57 eV/atom.

The space group is P4/mmm (No. 123) and the conventional cell measures 3.993, 3.993 and 3.728 Å, with angles of 90.00, 90.00 and 90.00 degrees. Symmetry generates all atoms from Ti at (0.000, 0.000, 0.000), Mo at (0.500, 0.500, 0.500), N at (0.000, 0.500, 0.000) and O at (0.000, 0.000, 0.500).